# YThAgOs, relaxed, DFT GGA-PBE
# Density of states at the Fermi level   3.9 states/eV/cell
# V   23.1 A^3/atom
# Total magnetization   0.000 μB/atom
# Space-group type   F-43m, No. 216
# Total energy   -7.178 eV per atom
# Calculated formation energy   -0.187 eV per atom
data_YThAgOs
_chemical_formula_sum 'Y1 Th1 Ag1 Os1'
_cell_length_a 5.0725
_cell_length_b 5.0725
_cell_length_c 5.0725
_cell_angle_alpha 60.00
_cell_angle_beta 60.00
_cell_angle_gamma 60.00
_space_group_name_H-M_alt 'P 1'
_space_group_IT_number 1
loop_
_space_group_symop_operation_xyz
'x,y,z'
loop_
_atom_site_label
_atom_site_fract_x
_atom_site_fract_y
_atom_site_fract_z
Ag1 0.0000 0.0000 0.0000
Os1 0.5000 0.5000 0.5000
Th1 0.2500 0.2500 0.2500
Y1 0.7500 0.7500 0.7500